## NaI3Br9 (PBE)

Data for an optimized crystal structure of NaI3Br9.

Computed properties:
The calculation puts the total magnetization at 0.0000 μB/atom. As for the calculated volume: 52.0 Å³ per atom. The formation energy (no corrections) comes out at -0.237 eV/atom. The calculation puts the total energy at -48.20 eV/cell.

a = 11.6200 Å, b = 11.6200 Å, c = 15.4356 Å
α = 123.61°, β = 123.61°, γ = 56.44°
Fractional positions:
Na 0.0946 0.9054 0.5000
Na 0.9054 0.0946 0.0000
I 0.0025 0.9049 0.7198
I 0.2936 0.3625 0.0315
I 0.3625 0.2936 0.5315
I 0.6170 0.7800 0.6338
I 0.7800 0.6170 0.1338
I 0.9049 0.0025 0.2198
Br 0.0324 0.7343 0.2539
Br 0.1641 0.9068 0.9314
Br 0.2486 0.7909 0.6833
Br 0.2855 0.4026 0.7022
Br 0.3363 0.3516 0.3730
Br 0.3441 0.9735 0.5533
Br 0.3516 0.3363 0.8730
Br 0.4026 0.2855 0.2022
Br 0.5035 0.5778 0.5263
Br 0.5778 0.5035 0.0263
Br 0.6055 0.8867 0.2175
Br 0.7343 0.0324 0.7539
Br 0.7909 0.2486 0.1833
Br 0.8433 0.9061 0.5098
Br 0.8867 0.6055 0.7175
Br 0.9061 0.8433 0.0098
Br 0.9068 0.1641 0.4314
Br 0.9735 0.3441 0.0533

***

## NaIBr2 (PBE)

Data for an optimized crystal structure of NaIBr2.

Computed properties:
The calculation puts the total magnetization at 0.0000 μB/atom. As for the calculated volume: 39.6 Å³ per atom. The formation energy (no corrections) comes out at -0.791 eV/atom. The calculation puts the total energy at -18.76 eV/cell.

a = 4.7084 Å, b = 4.7084 Å, c = 16.5099 Å
α = 90.00°, β = 90.00°, γ = 120.00°
Fractional positions:
Na 0.0000 0.0000 0.0000
Na 0.0000 0.0000 0.5000
I 0.3333 0.6667 0.2500
I 0.6667 0.3333 0.7500
Br 0.3333 0.6667 0.0842
Br 0.3333 0.6667 0.4158
Br 0.6667 0.3333 0.5842
Br 0.6667 0.3333 0.9158

***

## Na3I2Br (PBE)

Data for an optimized crystal structure of Na3I2Br.

Computed properties:
The calculation puts the total magnetization at 0.0000 μB/atom. As for the calculated volume: 32.3 Å³ per atom. The formation energy (no corrections) comes out at -1.351 eV/atom. The calculation puts the total energy at -16.83 eV/cell.

a = 7.8346 Å, b = 7.8346 Å, c = 7.8346 Å
α = 146.87°, β = 131.86°, γ = 59.69°
Fractional positions:
Na 0.0000 0.0000 0.0000
Na 0.3470 0.3470 0.0000
Na 0.6530 0.6530 0.0000
I 0.1682 0.6682 0.5000
I 0.8318 0.3318 0.5000
Br 0.5000 0.0000 0.5000

***

## Na5I2Br2 (PBE)

Data for an optimized crystal structure of Na5I2Br2.

Computed properties:
The calculation puts the total magnetization at 0.0000 μB/atom. As for the calculated volume: 33.0 Å³ per atom. The formation energy (no corrections) comes out at -1.113 eV/atom. The calculation puts the total energy at -46.11 eV/cell.

a = 9.1393 Å, b = 9.1393 Å, c = 8.5538 Å
α = 90.00°, β = 90.00°, γ = 56.17°
Fractional positions:
Na 0.0000 0.0000 0.0000
Na 0.0301 0.7143 0.6521
Na 0.2143 0.5301 0.1521
Na 0.2857 0.9699 0.6521
Na 0.4699 0.7857 0.1521
Na 0.5000 0.5000 0.5000
Na 0.5301 0.2143 0.8479
Na 0.7143 0.0301 0.3479
Na 0.7857 0.4699 0.8479
Na 0.9699 0.2857 0.3479
I 0.2031 0.2031 0.0000
I 0.2969 0.2969 0.5000
I 0.7031 0.7031 0.5000
I 0.7969 0.7969 0.0000
Br 0.1663 0.8337 0.3382
Br 0.3337 0.6663 0.8382
Br 0.6663 0.3337 0.1618
Br 0.8337 0.1663 0.6618

***

## Na8I3Br4 (PBE)

Data for an optimized crystal structure of Na8I3Br4.

Computed properties:
The calculation puts the total magnetization at 0.0398 μB/atom. As for the calculated volume: 32.8 Å³ per atom. The formation energy (no corrections) comes out at -1.271 eV/atom. The calculation puts the total energy at -40.96 eV/cell.

a = 8.8626 Å, b = 8.8626 Å, c = 8.8322 Å
α = 119.85°, β = 119.85°, γ = 90.10°
Fractional positions:
Na 0.2379 0.2379 0.4858
Na 0.2410 0.2410 0.9941
Na 0.2434 0.7566 0.0000
Na 0.2461 0.7539 0.5000
Na 0.7539 0.2461 0.5000
Na 0.7566 0.2434 0.0000
Na 0.7590 0.7590 0.0059
Na 0.7621 0.7621 0.5142
I 0.0000 0.5000 0.5000
I 0.5000 0.0000 0.5000
I 0.5000 0.5000 0.0000
Br 0.0000 0.0000 0.0000
Br 0.0000 0.0000 0.5000
Br 0.0000 0.5000 0.0000
Br 0.5000 0.0000 0.0000

***

## Na2I2Br7 (PBE)

Data for an optimized crystal structure of Na2I2Br7.

Computed properties:
The calculation puts the total magnetization at 0.0000 μB/atom. As for the calculated volume: 44.6 Å³ per atom. The formation energy (no corrections) comes out at -0.462 eV/atom. The calculation puts the total energy at -22.53 eV/cell.

a = 8.3485 Å, b = 8.3485 Å, c = 7.3857 Å
α = 97.15°, β = 97.15°, γ = 103.50°
Fractional positions:
Na 0.1863 0.8137 0.0000
Na 0.8137 0.1863 0.0000
I 0.2572 0.2572 0.6056
I 0.7428 0.7428 0.3944
Br 0.0737 0.0737 0.2049
Br 0.0860 0.4414 0.8795
Br 0.4414 0.0860 0.8795
Br 0.5000 0.5000 0.5000
Br 0.5586 0.9140 0.1205
Br 0.9140 0.5586 0.1205
Br 0.9263 0.9263 0.7951

***

## NaIBr4 (PBE)

Data for an optimized crystal structure of NaIBr4.

Computed properties:
The calculation puts the total magnetization at 0.0000 μB/atom. As for the calculated volume: 43.4 Å³ per atom. The formation energy (no corrections) comes out at -0.540 eV/atom. The calculation puts the total energy at -25.60 eV/cell.

a = 9.6238 Å, b = 9.6238 Å, c = 8.1429 Å
α = 100.66°, β = 100.66°, γ = 129.81°
Fractional positions:
Na 0.0543 0.9457 0.7500
Na 0.9457 0.0543 0.2500
I 0.4427 0.5573 0.2500
I 0.5573 0.4427 0.7500
Br 0.0785 0.4078 0.1745
Br 0.1840 0.2952 0.6685
Br 0.2952 0.1840 0.1685
Br 0.4078 0.0785 0.6745
Br 0.5922 0.9215 0.3255
Br 0.7048 0.8160 0.8315
Br 0.8160 0.7048 0.3315
Br 0.9215 0.5922 0.8255

***

## Na4IBr2 (PBE)

Data for an optimized crystal structure of Na4IBr2.

Computed properties:
The calculation puts the total magnetization at 0.0000 μB/atom. As for the calculated volume: 39.3 Å³ per atom. The formation energy (no corrections) comes out at -0.987 eV/atom. The calculation puts the total energy at -17.08 eV/cell.

a = 9.0075 Å, b = 9.0075 Å, c = 9.0075 Å
α = 142.02°, β = 142.02°, γ = 54.80°
Fractional positions:
Na 0.0000 0.5000 0.5000
Na 0.2106 0.2106 0.0000
Na 0.5000 0.0000 0.5000
Na 0.7894 0.7894 0.0000
I 0.0000 0.0000 0.0000
Br 0.3853 0.3853 0.0000
Br 0.6147 0.6147 0.0000

***

## Na2Nd2I2Br5 (PBE)

Data for an optimized crystal structure of Na2Nd2I2Br5.

Computed properties:
The calculation puts the total magnetization at 0.0000 μB/atom. As for the calculated volume: 42.1 Å³ per atom. The formation energy (no corrections) comes out at -1.474 eV/atom. The calculation puts the total energy at -39.85 eV/cell.

a = 14.0800 Å, b = 14.0800 Å, c = 14.0800 Å
α = 155.94°, β = 155.94°, γ = 34.28°
Fractional positions:
Na 0.1639 0.1639 0.0000
Na 0.8361 0.8361 0.0000
Nd 0.3918 0.3918 0.0000
Nd 0.6082 0.6082 0.0000
I 0.2785 0.2785 0.0000
I 0.7215 0.7215 0.0000
Br 0.1117 0.6117 0.5000
Br 0.3883 0.8883 0.5000
Br 0.5000 0.5000 0.0000
Br 0.6117 0.1117 0.5000
Br 0.8883 0.3883 0.5000

***

## Na9I3BrO2 (PBE)

Data for an optimized crystal structure of Na9I3BrO2.

Computed properties:
The calculation puts the total magnetization at 0.0000 μB/atom. As for the calculated volume: 26.2 Å³ per atom. The formation energy (no corrections) comes out at -1.149 eV/atom. The calculation puts the total energy at -45.34 eV/cell.

a = 7.1342 Å, b = 7.1342 Å, c = 8.9178 Å
α = 90.00°, β = 90.00°, γ = 120.00°
Fractional positions:
Na 0.0000 0.5000 0.0000
Na 0.1848 0.3697 0.2961
Na 0.1848 0.8152 0.2961
Na 0.3697 0.1848 0.7039
Na 0.5000 0.0000 0.0000
Na 0.5000 0.5000 0.0000
Na 0.6303 0.8152 0.2961
Na 0.8152 0.1848 0.7039
Na 0.8152 0.6303 0.7039
I 0.0000 0.0000 0.0000
I 0.3333 0.6667 0.6544
I 0.6667 0.3333 0.3456
Br 0.0000 0.0000 0.5000
O 0.3333 0.6667 0.1447
O 0.6667 0.3333 0.8553

***

## Na12I4BrO3 (PBE)

Data for an optimized crystal structure of Na12I4BrO3.

Computed properties:
The calculation puts the total magnetization at 0.0000 μB/atom. As for the calculated volume: 25.2 Å³ per atom. The formation energy (no corrections) comes out at -1.163 eV/atom. The calculation puts the total energy at -61.85 eV/cell.

a = 8.6854 Å, b = 8.6854 Å, c = 8.6854 Å
α = 109.47°, β = 109.47°, γ = 109.47°
Fractional positions:
Na 0.0000 0.2833 0.2833
Na 0.0000 0.7167 0.7167
Na 0.2500 0.5000 0.7500
Na 0.2500 0.7500 0.5000
Na 0.2833 0.0000 0.2833
Na 0.2833 0.2833 0.0000
Na 0.5000 0.2500 0.7500
Na 0.5000 0.7500 0.2500
Na 0.7167 0.0000 0.7167
Na 0.7167 0.7167 0.0000
Na 0.7500 0.2500 0.5000
Na 0.7500 0.5000 0.2500
I 0.0000 0.0000 0.5000
I 0.0000 0.5000 0.0000
I 0.5000 0.0000 0.0000
I 0.5000 0.5000 0.5000
Br 0.0000 0.0000 0.0000
O 0.0000 0.5000 0.5000
O 0.5000 0.0000 0.5000
O 0.5000 0.5000 0.0000

***

## Na7I2BrO2 (PBE)

Data for an optimized crystal structure of Na7I2BrO2.

Computed properties:
The calculation puts the total magnetization at 0.0162 μB/atom. As for the calculated volume: 23.0 Å³ per atom. The formation energy (no corrections) comes out at -1.310 eV/atom. The calculation puts the total energy at -39.65 eV/cell.

a = 13.1406 Å, b = 13.1406 Å, c = 13.1406 Å
α = 159.57°, β = 159.57°, γ = 29.05°
Fractional positions:
Na 0.0000 0.0000 0.0000
Na 0.0898 0.5898 0.5000
Na 0.1806 0.1806 0.0000
Na 0.4102 0.9102 0.5000
Na 0.5898 0.0898 0.5000
Na 0.8194 0.8194 0.0000
Na 0.9102 0.4102 0.5000
I 0.3121 0.3121 0.0000
I 0.6879 0.6879 0.0000
Br 0.5000 0.5000 0.0000
O 0.0902 0.0902 0.0000
O 0.9098 0.9098 0.0000